{"formula": "CaCd7Au4", "functional": "PBE", "state": "relaxed", "lattice": [[6.220, -2.686, 0.000], [6.220, 2.686, 0.000], [-5.886, 0.000, 8.264]], "species": ["Ca", "Cd", "Cd", "Cd", "Cd", "Cd", "Cd", "Cd", "Au", "Au", "Au", "Au"], "fractional_positions": [[0.000, 0.000, 0.000], [0.063, 0.063, 0.370], [0.212, 0.212, 0.880], [0.340, 0.340, 0.416], [0.500, 0.500, 0.000], [0.660, 0.660, 0.584], [0.788, 0.788, 0.120], [0.937, 0.937, 0.630], [0.298, 0.298, 0.673], [0.425, 0.425, 0.217], [0.575, 0.575, 0.783], [0.702, 0.702, 0.327]], "e_tot_ha_per_atom": -0.06933, "n_ef_per_ev_fu": 4.59, "formation_enthalpy_0k_mev_per_atom": -94}